Below is a PBEsol-optimized structure of NbHOs2, with properties calculated at the SCAN level.

POSCAR file:
```
NbHOs2
1.0
4.234 0.000 0.000
2.117 3.667 0.000
2.117 1.222 3.457
H Nb Os
1 1 2
Cartesian
0.000 0.000 0.000 H
4.234 2.445 1.729 Nb
2.117 1.222 0.864 Os
6.351 3.667 2.593 Os
```

Values from the calculation:
crystal system: cubic
magnetic moment: 0.00 μB/f.u.
total DFT energy (no corrections): -177.3 eV per cell
space-group type: Fm-3m (225)